1.
# NaHf2Fe2 | Alexandria via LeMat-Bulk | GGA-PBE | optimized geometry
# Total magnetic moment = 1.6 μB per formula unit
# E above lowest polymorph = 70 meV per atom
# Formation energy = 0.2916 eV per atom
data_NaHf2Fe2
_chemical_formula_sum 'Na2 Hf4 Fe4'
_cell_length_a 7.7179
_cell_length_b 7.7179
_cell_length_c 2.9874
_cell_angle_alpha 90.00
_cell_angle_beta 90.00
_cell_angle_gamma 90.00
_space_group_name_H-M_alt 'P 1'
_space_group_IT_number 1
loop_
_space_group_symop_operation_xyz
'x,y,z'
loop_
_atom_site_label
_atom_site_type_symbol
_atom_site_fract_x
_atom_site_fract_y
_atom_site_fract_z
Na1 Na 0.0000 0.0000 0.0000
Na2 Na 0.5000 0.5000 0.0000
Hf1 Hf 0.1428 0.3572 0.0000
Hf2 Hf 0.3572 0.8572 0.0000
Hf3 Hf 0.6428 0.1428 0.0000
Hf4 Hf 0.8572 0.6428 0.0000
Fe1 Fe 0.1396 0.6396 0.5000
Fe2 Fe 0.3604 0.1396 0.5000
Fe3 Fe 0.6396 0.8604 0.5000
Fe4 Fe 0.8604 0.3604 0.5000

2.
# K3BaRu | Alexandria via LeMat-Bulk | GGA-PBE | optimized geometry
# Total magnetic moment = 0.0 μB per formula unit
# E above lowest polymorph = 0 meV per atom
# Formation energy = 0.9908 eV per atom
data_K3BaRu
_chemical_formula_sum 'K3 Ba1 Ru1'
_cell_length_a 6.2523
_cell_length_b 6.2523
_cell_length_c 6.2523
_cell_angle_alpha 90.00
_cell_angle_beta 90.00
_cell_angle_gamma 90.00
_space_group_name_H-M_alt 'P 1'
_space_group_IT_number 1
loop_
_space_group_symop_operation_xyz
'x,y,z'
loop_
_atom_site_label
_atom_site_type_symbol
_atom_site_fract_x
_atom_site_fract_y
_atom_site_fract_z
K1 K 0.0000 0.0000 0.5000
K2 K 0.0000 0.5000 0.0000
K3 K 0.5000 0.0000 0.0000
Ba1 Ba 0.5000 0.5000 0.5000
Ru1 Ru 0.0000 0.0000 0.0000

3.
# Nb6Pb4O19 | Alexandria via LeMat-Bulk | GGA-PBE | optimized geometry
# Raw formation energy = -209 kJ/mol of atoms
# Total magnetic moment = 0.0 μB per formula unit
data_Nb6Pb4O19
_chemical_formula_sum 'Nb6 Pb4 O19'
_cell_length_a 8.3433
_cell_length_b 8.3433
_cell_length_c 8.3433
_cell_angle_alpha 109.47
_cell_angle_beta 109.47
_cell_angle_gamma 109.47
_space_group_name_H-M_alt 'P 1'
_space_group_IT_number 1
loop_
_space_group_symop_operation_xyz
'x,y,z'
loop_
_atom_site_label
_atom_site_type_symbol
_atom_site_fract_x
_atom_site_fract_y
_atom_site_fract_z
Nb1 Nb 0.1616 0.5000 0.6616
Nb2 Nb 0.3384 0.8384 0.5000
Nb3 Nb 0.5000 0.3384 0.8384
Nb4 Nb 0.5000 0.6616 0.1616
Nb5 Nb 0.6616 0.1616 0.5000
Nb6 Nb 0.8384 0.5000 0.3384
Pb1 Pb 0.0000 0.0000 0.2903
Pb2 Pb 0.0000 0.2903 0.0000
Pb3 Pb 0.2903 0.0000 0.0000
Pb4 Pb 0.7097 0.7097 0.7097
O1 O 0.0000 0.0000 0.0000
O2 O 0.0000 0.3616 0.3616
O3 O 0.0000 0.6384 0.6384
O4 O 0.0514 0.7184 0.3494
O5 O 0.2816 0.3330 0.6310
O6 O 0.2980 0.6670 0.9486
O7 O 0.3330 0.6310 0.2816
O8 O 0.3494 0.0514 0.7184
O9 O 0.3616 0.0000 0.3616
O10 O 0.3616 0.3616 0.0000
O11 O 0.3690 0.7020 0.6506
O12 O 0.6310 0.2816 0.3330
O13 O 0.6384 0.0000 0.6384
O14 O 0.6384 0.6384 0.0000
O15 O 0.6506 0.3690 0.7020
O16 O 0.6670 0.9486 0.2980
O17 O 0.7020 0.6506 0.3690
O18 O 0.7184 0.3494 0.0514
O19 O 0.9486 0.2980 0.6670

4.
# LaCeCoAu | Alexandria via LeMat-Bulk | GGA-PBE | optimized geometry
# Total magnetic moment = 0.5 μB per formula unit
# Formation energy = -0.2678 eV per atom
data_LaCeCoAu
_chemical_formula_sum 'La1 Ce1 Co1 Au1'
_cell_length_a 5.1088
_cell_length_b 5.1088
_cell_length_c 5.1088
_cell_angle_alpha 60.00
_cell_angle_beta 60.00
_cell_angle_gamma 60.00
_space_group_name_H-M_alt 'P 1'
_space_group_IT_number 1
loop_
_space_group_symop_operation_xyz
'x,y,z'
loop_
_atom_site_label
_atom_site_type_symbol
_atom_site_fract_x
_atom_site_fract_y
_atom_site_fract_z
La1 La 0.0000 0.0000 0.0000
Ce1 Ce 0.5000 0.5000 0.5000
Co1 Co 0.7500 0.7500 0.7500
Au1 Au 0.2500 0.2500 0.2500

5.
# Fe3C | Alexandria via LeMat-Bulk | GGA-PBE | optimized geometry
# Total magnetic moment = 5.9 μB per formula unit
# Formation energy = 0.7518 eV per atom
data_Fe3C
_chemical_formula_sum 'Fe6 C2'
_cell_length_a 4.7970
_cell_length_b 4.7970
_cell_length_c 3.8745
_cell_angle_alpha 90.00
_cell_angle_beta 90.00
_cell_angle_gamma 120.00
_space_group_name_H-M_alt 'P 1'
_space_group_IT_number 1
loop_
_space_group_symop_operation_xyz
'x,y,z'
loop_
_atom_site_label
_atom_site_type_symbol
_atom_site_fract_x
_atom_site_fract_y
_atom_site_fract_z
Fe1 Fe 0.1703 0.3407 0.2500
Fe2 Fe 0.1703 0.8297 0.2500
Fe3 Fe 0.3407 0.1703 0.7500
Fe4 Fe 0.6593 0.8297 0.2500
Fe5 Fe 0.8297 0.1703 0.7500
Fe6 Fe 0.8297 0.6593 0.7500
C1 C 0.3333 0.6667 0.7500
C2 C 0.6667 0.3333 0.2500

6.
# Zr4TaPt | Alexandria via LeMat-Bulk | GGA-PBE | optimized geometry
# Total magnetic moment = 0.0 μB per formula unit
# Formation energy = 0.3190 eV per atom
data_Zr4TaPt
_chemical_formula_sum 'Zr4 Ta1 Pt1'
_cell_length_a 5.6084
_cell_length_b 5.6084
_cell_length_c 5.6084
_cell_angle_alpha 60.00
_cell_angle_beta 60.00
_cell_angle_gamma 60.00
_space_group_name_H-M_alt 'P 1'
_space_group_IT_number 1
loop_
_space_group_symop_operation_xyz
'x,y,z'
loop_
_atom_site_label
_atom_site_type_symbol
_atom_site_fract_x
_atom_site_fract_y
_atom_site_fract_z
Zr1 Zr 0.3756 0.3756 0.3756
Zr2 Zr 0.3756 0.3756 0.8733
Zr3 Zr 0.3756 0.8733 0.3756
Zr4 Zr 0.8733 0.3756 0.3756
Ta1 Ta 0.7500 0.7500 0.7500
Pt1 Pt 0.0000 0.0000 0.0000

7.
# HfPaPdRu | Alexandria via LeMat-Bulk | GGA-PBE | optimized geometry
# Total magnetic moment = 0.0 μB per formula unit
# Formation energy = -0.4223 eV per atom
data_HfPaPdRu
_chemical_formula_sum 'Hf1 Pa1 Pd1 Ru1'
_cell_length_a 4.7906
_cell_length_b 4.7906
_cell_length_c 4.7906
_cell_angle_alpha 60.00
_cell_angle_beta 60.00
_cell_angle_gamma 60.00
_space_group_name_H-M_alt 'P 1'
_space_group_IT_number 1
loop_
_space_group_symop_operation_xyz
'x,y,z'
loop_
_atom_site_label
_atom_site_type_symbol
_atom_site_fract_x
_atom_site_fract_y
_atom_site_fract_z
Hf1 Hf 0.0000 0.0000 0.0000
Pa1 Pa 0.5000 0.5000 0.5000
Pd1 Pd 0.2500 0.2500 0.2500
Ru1 Ru 0.7500 0.7500 0.7500

8.
# SrLuAu | Alexandria via LeMat-Bulk | GGA-PBE | optimized geometry
# Total magnetic moment = 0.0 μB per formula unit
# E above lowest polymorph = 136 meV per atom
# Formation energy = -0.3814 eV per atom
data_SrLuAu
_chemical_formula_sum 'Sr1 Lu1 Au1'
_cell_length_a 4.8751
_cell_length_b 4.8751
_cell_length_c 4.6546
_cell_angle_alpha 90.00
_cell_angle_beta 90.00
_cell_angle_gamma 120.00
_space_group_name_H-M_alt 'P 1'
_space_group_IT_number 1
loop_
_space_group_symop_operation_xyz
'x,y,z'
loop_
_atom_site_label
_atom_site_type_symbol
_atom_site_fract_x
_atom_site_fract_y
_atom_site_fract_z
Sr1 Sr 0.0000 0.0000 0.0000
Lu1 Lu 0.6667 0.3333 0.5000
Au1 Au 0.3333 0.6667 0.5014